# Pu6TlGa

An optimized crystal structure of Pu6TlGa (PBE, the Alexandria database).

Calculated values
The value obtained for the total energy is -11.40 eV/atom. Its formation energy is 0.025 eV per atom. The total magnetization is 11.16 μB per cell. As for the volume: 23.73 A^3/atom.

Cell and atoms, written as CIF:
```
data_Pu6TlGa
_chemical_formula_sum 'Pu6 Tl1 Ga1'
_cell_length_a 4.490
_cell_length_b 4.490
_cell_length_c 9.417
_cell_angle_alpha 90.00
_cell_angle_beta 90.00
_cell_angle_gamma 90.00
_space_group_name_H-M_alt 'P 4/m m m'
_space_group_IT_number 123
_space_group_name_Hall '-P 4 2'
loop_
_atom_site_label
_atom_site_type_symbol
_atom_site_fract_x
_atom_site_fract_y
_atom_site_fract_z
Pu1 Pu 0.000 0.000 0.000
Pu2 Pu 0.000 0.000 0.500
Pu3 Pu 0.000 0.500 0.236
Tl1 Tl 0.500 0.500 0.500
Ga1 Ga 0.500 0.500 0.000
```